[1]
DFT (PBE) results for a relaxed structure of Dy6SiP2Se3.

Cell lengths 4.0541, 8.1776, 9.1341 Å; angles 103.69, 102.82, 90.00 degrees
Fractional positions:
Dy: 0.3374 0.9057 0.6747
Dy: 0.6714 0.5718 0.3428
Dy: 0.6626 0.0943 0.3253
Dy: 0.0040 0.2414 0.0080
Dy: 0.9960 0.7586 0.9920
Dy: 0.3286 0.4282 0.6572
Si: 0.5000 0.0000 0.0000
P: 0.8326 0.6652 0.6651
P: 0.1674 0.3348 0.3349
Se: 0.5000 0.5000 0.0000
Se: 0.8326 0.1679 0.6652
Se: 0.1674 0.8321 0.3348

Values from the calculation:
- space-group type = C2/m (12)
- total energy (eV/atom) = -6.16
- formation energy from raw total energies (eV/atom) = -1.632



[2]
DFT (PBE) results for a relaxed structure of SmDyPSe.

Cell lengths 4.0123, 4.0131, 7.4225 Å; angles 90.00, 105.67, 120.00 degrees
Fractional positions:
Sm: 0.4869 0.1414 0.6436
Dy: 0.1183 0.9571 0.0906
P: 0.3098 0.5529 0.8780
Se: 0.9628 0.3794 0.3575

Values from the calculation:
- space-group type = R3m (160)
- total energy (eV/atom) = -6.28
- formation energy from raw total energies (eV/atom) = -1.727



[3]
DFT (PBE) results for a relaxed structure of Dy6SnP2Se3.

Cell lengths 4.0863, 8.3015, 9.2152 Å; angles 103.11, 102.81, 90.00 degrees
Fractional positions:
Dy: 0.3296 0.8963 0.6592
Dy: 0.6729 0.5724 0.3458
Dy: 0.6704 0.1037 0.3408
Dy: 0.0063 0.2607 0.0125
Dy: 0.9937 0.7393 0.9875
Dy: 0.3271 0.4276 0.6542
Sn: 0.5000 0.0000 0.0000
P: 0.8317 0.6630 0.6635
P: 0.1683 0.3370 0.3365
Se: 0.5000 0.5000 0.0000
Se: 0.8348 0.1680 0.6696
Se: 0.1652 0.8320 0.3304

Values from the calculation:
- space-group type = C2/m (12)
- total energy (eV/atom) = -5.98
- formation energy from raw total energies (eV/atom) = -1.573